[1]
# Mg6Tl3Cd2

A relaxed structure of Mg6Tl3Cd2 (GGA-PBE, Alexandria via LeMat-Bulk).

The calculation puts the total magnetic moment at 0.00 μB/f.u. For the calculated volume, the calculation gives 799 Å³ per cell. The density comes out at 6132 kg/m³. The total energy is -1.7062 eV per atom.

The space group is R-3m (No. 166, hexagonal axes) and the conventional cell measures 3.4113, 3.4113 and 79.3029 Å, with angles of 90.00, 90.00 and 120.00 degrees. The distinct sites, in fractional coordinates, are Mg at (0.0000, 0.0000, 0.0927), Mg at (0.0000, 0.0000, 0.1821), Mg at (0.0000, 0.0000, 0.3642), Tl at (0.0000, 0.0000, 0.0000), Tl at (0.0000, 0.0000, 0.2717) and Cd at (0.0000, 0.0000, 0.4553).

[2]
# MgTlCd2

A relaxed structure of MgTlCd2 (GGA-PBE, Alexandria via LeMat-Bulk).

The calculation puts the total magnetic moment at 0.00 μB/f.u. For the calculated volume, the calculation gives 402 Å³ per cell. The density comes out at 7488 kg/m³. The total energy is -1.3920 eV per atom.

The space group is Fm-3m (No. 225) and the conventional cell measures 7.382, 7.382 and 7.382 Å, with angles of 90.00, 90.00 and 90.00 degrees. The distinct sites, in fractional coordinates, are Mg at (0.000, 0.000, 0.000), Tl at (0.000, 0.000, 0.500) and Cd at (0.250, 0.250, 0.250).

[3]
# Mg3TlCd2

A relaxed structure of Mg3TlCd2 (GGA-PBE, Alexandria via LeMat-Bulk).

The calculation puts the total magnetic moment at 0.00 μB/f.u. For the calculated volume, the calculation gives 138 Å³ per cell. The density comes out at 6027 kg/m³. The total energy is -1.5688 eV per atom.

The space group is P4/mmm (No. 123) and the conventional cell measures 3.340, 3.340 and 12.398 Å, with angles of 90.00, 90.00 and 90.00 degrees. The distinct sites, in fractional coordinates, are Mg at (0.000, 0.000, 0.000), Mg at (0.000, 0.000, 0.317), Tl at (0.500, 0.500, 0.500) and Cd at (0.500, 0.500, 0.159).

[4]
# Mg4Tl7Cd

A relaxed structure of Mg4Tl7Cd (GGA-PBE, Alexandria via LeMat-Bulk).

The calculation puts the total magnetic moment at 0.00 μB/f.u. For the calculated volume, the calculation gives 669 Å³ per cell. The density comes out at 8138 kg/m³. The total energy is -1.9284 eV per atom.

The space group is C2/m (No. 12) and the conventional cell measures 14.992, 5.727 and 9.507 Å, with angles of 90.00, 124.91 and 90.00 degrees. The distinct sites, in fractional coordinates, are Mg at (0.041, 0.000, 0.209), Mg at (0.192, 0.000, 0.856), Tl at (0.000, 0.000, 0.500), Tl at (0.066, 0.500, 0.900), Tl at (0.208, 0.500, 0.381), Tl at (0.239, 0.000, 0.208) and Cd at (0.000, 0.500, 0.500).

[5]
# Mg6Tl3Cd

A relaxed structure of Mg6Tl3Cd (GGA-PBE, Alexandria via LeMat-Bulk).

The calculation puts the total magnetic moment at 0.00 μB/f.u. For the calculated volume, the calculation gives 489 Å³ per cell. The density comes out at 5915 kg/m³. The total energy is -1.7740 eV per atom.

The space group is P2_1/m (No. 11) and the conventional cell measures 12.755, 3.371 and 13.044 Å, with angles of 90.00, 119.26 and 90.00 degrees. The distinct sites, in fractional coordinates, are Mg at (0.029, 0.250, 0.262), Mg at (0.114, 0.750, 0.106), Mg at (0.157, 0.250, 0.707), Mg at (0.360, 0.250, 0.158), Mg at (0.364, 0.750, 0.948), Mg at (0.438, 0.750, 0.572), Tl at (0.137, 0.750, 0.496), Tl at (0.289, 0.250, 0.346), Tl at (0.412, 0.250, 0.766) and Cd at (0.147, 0.250, 0.930).

[6]
# Mg12Tl7Cd

A relaxed structure of Mg12Tl7Cd (GGA-PBE, Alexandria via LeMat-Bulk).

The calculation puts the total magnetic moment at 0.00 μB/f.u. For the calculated volume, the calculation gives 1202 Å³ per cell. The density comes out at 5071 kg/m³. The total energy is -1.6634 eV per atom.

The space group is Im-3 (No. 204) and the conventional cell measures 10.631, 10.631 and 10.631 Å, with angles of 90.00, 90.00 and 90.00 degrees. The distinct sites, in fractional coordinates, are Mg at (0.000, 0.153, 0.253), Tl at (0.000, 0.000, 0.500), Tl at (0.250, 0.250, 0.250) and Cd at (0.000, 0.000, 0.000).

[7]
# MgTlCd

A relaxed structure of MgTlCd (GGA-PBE, Alexandria via LeMat-Bulk).

The calculation puts the total magnetic moment at 0.00 μB/f.u. For the calculated volume, the calculation gives 148 Å³ per cell. The density comes out at 7651 kg/m³. The total energy is -1.6276 eV per atom.

The space group is Imm2 (No. 44) and the conventional cell measures 3.346, 4.345 and 10.184 Å, with angles of 90.00, 90.00 and 90.00 degrees. The distinct sites, in fractional coordinates, are Mg at (0.000, 0.000, 0.000), Tl at (0.000, 0.000, 0.670) and Cd at (0.000, 0.000, 0.348).

[8]
# MgTlCd2

A relaxed structure of MgTlCd2 (GGA-PBE, Alexandria via LeMat-Bulk).

The calculation puts the total magnetic moment at 0.00 μB/f.u. For the calculated volume, the calculation gives 297 Å³ per cell. The density comes out at 7615 kg/m³. The total energy is -1.4301 eV per atom.

The space group is R-3m (No. 166, hexagonal axes) and the conventional cell measures 3.3445, 3.3445 and 30.6284 Å, with angles of 90.00, 90.00 and 120.00 degrees. The distinct sites, in fractional coordinates, are Mg at (0.0000, 0.0000, 0.0000), Tl at (0.0000, 0.0000, 0.5000) and Cd at (0.0000, 0.0000, 0.2563).